Density functional theory data (PBE) for an optimized crystal structure of Ca2ZrO4.

Computed properties:
Formation energy (no corrections) = -3.1762 eV per atom
Calculated total energy = -7.8025 eV per atom
Crystal system = orthorhombic
Fermi-level density of states = 0.00 states/eV per atom

Unit cell a=3.3170 b=5.7694 c=9.9839 alpha=90.00 beta=90.00 gamma=90.00
With the nearest neighbours (Å) after each atom.
Positions (direct):
O (0.0000, 0.8612, 0.3051)  1 Zr 2.10
O (0.5000, 0.7309, 0.0433)  2 Zr 2.17, 1 Ca 2.37
O (0.0000, 0.6388, 0.8051)  1 Zr 2.10
O (0.5000, 0.7691, 0.5433)  2 Zr 2.17, 1 Ca 2.37
O (0.5000, 0.2691, 0.9567)  2 Zr 2.17, 1 Ca 2.37
O (0.0000, 0.1388, 0.6949)  1 Zr 2.10
O (0.5000, 0.2309, 0.4567)  2 Zr 2.17, 1 Ca 2.37
O (0.0000, 0.3612, 0.1949)  1 Zr 2.10
Zr (0.0000, 0.0000, 0.5000)  6 O 2.10-2.17
Zr (0.0000, 0.5000, 0.0000)  6 O 2.10-2.17
Ca (0.5000, 0.9331, 0.8199)  6 O 2.37-2.52
Ca (0.5000, 0.5669, 0.3199)  6 O 2.37-2.52
Ca (0.5000, 0.4331, 0.6801)  6 O 2.37-2.52
Ca (0.5000, 0.0669, 0.1801)  6 O 2.37-2.52